[1]
The following is a PBE calculation of ReSnAsO after structural relaxation, from OQMD via LeMat-Bulk.

Geometry as extended XYZ:
```
8
Lattice="4.144 0.000 0.000 0.000 4.144 0.000 0.000 0.000 9.917" Properties=species:S:1:pos:R:3 pbc="T T T"
Re 1.036 1.036 0.416
Re 3.108 3.108 9.501
Sn 1.036 3.108 4.958
Sn 3.108 1.036 4.958
As 1.036 1.036 2.685
As 3.108 3.108 7.232
O 1.036 3.108 0.000
O 3.108 1.036 0.000
```

## Properties
Space-group type: P4/nmm, No. 129
Magnetic moment (μB per atom): 0.00
Distance to the lowest polymorph of the same formula (kJ/mol of formula units): 259
Total DFT energy (no corrections) (eV/atom): -6.326
V (Å³ per cell): 170.3
Density (g cm⁻³): 7.7



[2]
The following is a PBE calculation of SiOsNO after structural relaxation, from OQMD via LeMat-Bulk.

Geometry as extended XYZ:
```
8
Lattice="2.862 0.000 0.000 0.000 6.654 0.000 0.000 0.000 4.905" Properties=species:S:1:pos:R:3 pbc="T T T"
Si 0.000 0.884 0.000
Si 0.000 5.770 2.452
Os 1.431 3.010 1.958
Os 1.431 3.644 4.410
N 1.431 1.726 0.388
N 1.431 4.928 2.840
O 0.000 0.499 3.321
O 0.000 6.155 0.869
```

## Properties
Space-group type: Pmc2_1, No. 26
Magnetic moment (μB per atom): 0.00
Distance to the lowest polymorph of the same formula (kJ/mol of formula units): 0
Total DFT energy (no corrections) (eV/atom): -8.220
V (Å³ per cell): 93.4
Density (g cm⁻³): 8.8